[1]
First-principles (PBE-GGA) data for crystalline PmGa2Ir at its relaxed geometry, as listed in the Alexandria database.

The structure in CIF format:
```
data_PmGa2Ir
_cell_length_a 6.6290
_cell_length_b 6.6290
_cell_length_c 6.6290
_cell_angle_alpha 90.00
_cell_angle_beta 90.00
_cell_angle_gamma 90.00
_symmetry_space_group_name_H-M 'F m -3 m'
_symmetry_Int_Tables_number 225
_symmetry_space_group_name_Hall '-F 4 2 3'
loop_
_atom_site_label
_atom_site_fract_x
_atom_site_fract_y
_atom_site_fract_z
Pm1 0.0000 0.0000 0.0000
Ga1 0.2500 0.2500 0.2500
Ir1 0.0000 0.0000 0.5000
```

Computed properties:
Total energy = -5.42 eV/atom
ΔE_f = -0.508 eV/atom

[2]
First-principles (PBE-GGA) data for crystalline Pm3Ga2Ir7 at its relaxed geometry, as listed in the Alexandria database.

The structure in CIF format:
```
data_Pm3Ga2Ir7
_cell_length_a 5.5236
_cell_length_b 5.5236
_cell_length_c 24.8254
_cell_angle_alpha 90.00
_cell_angle_beta 90.00
_cell_angle_gamma 120.00
_symmetry_space_group_name_H-M 'R -3 m'
_symmetry_Int_Tables_number 166
_symmetry_space_group_name_Hall '-R 3 2"'
loop_
_atom_site_label
_atom_site_fract_x
_atom_site_fract_y
_atom_site_fract_z
Pm1 0.0000 0.0000 0.0000
Pm2 0.0000 0.0000 0.1410
Ga1 0.0000 0.0000 0.3355
Ir1 0.0000 0.0000 0.5000
Ir2 0.0057 0.5029 0.9182
```

Computed properties:
Total energy = -7.57 eV/atom
ΔE_f = -0.704 eV/atom

[3]
First-principles (PBE-GGA) data for crystalline Pm8GaIr5 at its relaxed geometry, as listed in the Alexandria database.

The structure in CIF format:
```
data_Pm8GaIr5
_cell_length_a 8.9206
_cell_length_b 8.9206
_cell_length_c 8.8237
_cell_angle_alpha 90.00
_cell_angle_beta 90.00
_cell_angle_gamma 90.00
_symmetry_space_group_name_H-M 'I -4'
_symmetry_Int_Tables_number 82
_symmetry_space_group_name_Hall 'I -4'
loop_
_atom_site_label
_atom_site_fract_x
_atom_site_fract_y
_atom_site_fract_z
Pm1 0.0614 0.1919 0.1830
Pm2 0.0662 0.3218 0.5651
Ga1 0.0000 0.0000 0.5000
Ir1 0.0000 0.5000 0.2500
Ir2 0.1286 0.2520 0.8734
```

Computed properties:
Total energy = -6.68 eV/atom
ΔE_f = -0.582 eV/atom

[4]
First-principles (PBE-GGA) data for crystalline PmGaIr at its relaxed geometry, as listed in the Alexandria database.

The structure in CIF format:
```
data_PmGaIr
_cell_length_a 4.3502
_cell_length_b 4.3502
_cell_length_c 3.9148
_cell_angle_alpha 90.00
_cell_angle_beta 90.00
_cell_angle_gamma 120.00
_symmetry_space_group_name_H-M 'P -6 m 2'
_symmetry_Int_Tables_number 187
_symmetry_space_group_name_Hall 'P -6 2'
loop_
_atom_site_label
_atom_site_fract_x
_atom_site_fract_y
_atom_site_fract_z
Pm1 0.0000 0.0000 0.0000
Ga1 0.3333 0.6667 0.5000
Ir1 0.6667 0.3333 0.5000
```

Computed properties:
Total energy = -6.25 eV/atom
ΔE_f = -0.707 eV/atom

[5]
First-principles (PBE-GGA) data for crystalline Pm2Ga7Ir at its relaxed geometry, as listed in the Alexandria database.

The structure in CIF format:
```
data_Pm2Ga7Ir
_cell_length_a 4.2337
_cell_length_b 4.2337
_cell_length_c 10.8280
_cell_angle_alpha 90.00
_cell_angle_beta 90.00
_cell_angle_gamma 90.00
_symmetry_space_group_name_H-M 'P -4 m 2'
_symmetry_Int_Tables_number 115
_symmetry_space_group_name_Hall 'P -4 -2'
loop_
_atom_site_label
_atom_site_fract_x
_atom_site_fract_y
_atom_site_fract_z
Pm1 0.0000 0.5000 0.2432
Ga1 0.0000 0.0000 0.0000
Ga2 0.0000 0.0000 0.5000
Ga3 0.0000 0.5000 0.6409
Ga4 0.0000 0.5000 0.8702
Ga5 0.5000 0.5000 0.5000
Ir1 0.5000 0.5000 0.0000
```

Computed properties:
Total energy = -4.46 eV/atom
ΔE_f = -0.505 eV/atom

[6]
First-principles (PBE-GGA) data for crystalline PmGaIr at its relaxed geometry, as listed in the Alexandria database.

The structure in CIF format:
```
data_PmGaIr
_cell_length_a 3.7994
_cell_length_b 10.9592
_cell_length_c 5.8717
_cell_angle_alpha 90.00
_cell_angle_beta 90.00
_cell_angle_gamma 90.00
_symmetry_space_group_name_H-M 'C m c m'
_symmetry_Int_Tables_number 63
_symmetry_space_group_name_Hall '-C 2c 2'
loop_
_atom_site_label
_atom_site_fract_x
_atom_site_fract_y
_atom_site_fract_z
Pm1 0.0000 0.1796 0.2500
Ga1 0.0000 0.0960 0.7500
Ir1 0.0000 0.5000 0.0000
```

Computed properties:
Total energy = -6.27 eV/atom
ΔE_f = -0.720 eV/atom